ZrBi: relaxed, PBE.

Geometry as CIF:
```
data_ZrBi
_chemical_formula_sum 'Zr4 Bi4'
_symmetry_space_group_name_H-M 'P 1'
_symmetry_Int_Tables_number 1
_cell_length_a 8.3927
_cell_length_b 8.3927
_cell_length_c 8.3927
_cell_angle_alpha 92.82
_cell_angle_beta 92.82
_cell_angle_gamma 154.36
loop_
_symmetry_equiv_pos_as_xyz
'x,y,z'
loop_
_atom_site_label
_atom_site_type_symbol
_atom_site_fract_x
_atom_site_fract_y
_atom_site_fract_z
Zr1 Zr 0.0643 0.3651 0.4294
Zr2 Zr 0.3651 0.9357 0.3007
Zr3 Zr 0.6349 0.0643 0.6993
Zr4 Zr 0.9357 0.6349 0.5706
Bi1 Bi 0.1378 0.7937 0.9315
Bi2 Bi 0.2063 0.1378 0.3441
Bi3 Bi 0.7937 0.8622 0.6559
Bi4 Bi 0.8622 0.2063 0.0685
```

Calculated values
- magnetization (μB per atom) = 0.0000
- final energy (eV/atom) = -6.284
- symmetry = I4/m (87)